[1]
Tl3Cd5 after structural relaxation. Source: Alexandria, functional GGA-PBEsol.

Calculated values
- Calculated formation energy: 0.121 eV/atom

Unit cell a=5.403 b=9.232 c=9.232 alpha=120.00 beta=90.00 gamma=90.00
Sites, in units of the cell vectors:
Cd1 0.250 0.802 0.000
Cd2 0.000 0.667 0.333
Tl1 0.750 0.390 0.390
Cd3 0.750 0.000 0.198
Tl2 0.250 0.610 0.610
Tl3 0.750 0.610 0.000
Cd4 0.750 0.198 0.000
Cd5 0.250 0.000 0.802
Cd6 0.000 0.333 0.667
Cd7 0.500 0.667 0.333
Cd8 0.500 0.333 0.667
Cd9 0.750 0.802 0.802
Tl4 0.250 0.390 0.000
Tl5 0.750 0.000 0.610
Tl6 0.250 0.000 0.390
Cd10 0.250 0.198 0.198

[2]
Zr5P3 after structural relaxation. Source: Alexandria, functional GGA-PBEsol.

Calculated values
- Calculated formation energy: -1.213 eV/atom

Unit cell a=5.432 b=7.725 c=7.725 alpha=120.00 beta=90.00 gamma=90.00
Sites, in units of the cell vectors:
Zr1 0.250 0.742 0.000
P1 0.750 0.385 0.385
Zr2 0.500 0.667 0.333
P2 0.750 0.615 0.000
Zr3 0.000 0.667 0.333
P3 0.250 0.000 0.385
Zr4 0.750 0.258 0.000
P4 0.250 0.385 0.000
Zr5 0.000 0.333 0.667
Zr6 0.750 0.742 0.742
Zr7 0.250 0.258 0.258
P5 0.250 0.615 0.615
Zr8 0.500 0.333 0.667
P6 0.750 0.000 0.615
Zr9 0.750 0.000 0.258
Zr10 0.250 0.000 0.742

[3]
CaSc2Si after structural relaxation. Source: Alexandria, functional GGA-PBEsol.

Calculated values
- Formation energy (no corrections): -0.019 eV per atom

Unit cell a=4.941 b=4.941 c=4.941 alpha=60.00 beta=60.00 gamma=60.00
Sites, in units of the cell vectors:
Sc1 0.000 0.000 0.000
Sc2 0.750 0.750 0.750
Ca1 0.500 0.500 0.500
Si1 0.250 0.250 0.250

[4]
Ba2IrRu after structural relaxation. Source: Alexandria, functional GGA-PBEsol.

Calculated values
- Calculated formation energy: 0.097 eV/atom

Unit cell a=4.289 b=4.289 c=8.986 alpha=76.35 beta=76.35 gamma=60.78
Sites, in units of the cell vectors:
Ba1 0.040 0.040 0.878
Ba2 0.208 0.208 0.372
Ir1 0.447 0.447 0.626
Ru1 0.805 0.805 0.624

[5]
Cs2ZrSi3O9 after structural relaxation. Source: Alexandria, functional GGA-PBEsol.

Calculated values
- Formation energy (no corrections): -2.859 eV per atom

Unit cell a=7.211 b=7.211 c=10.324 alpha=90.00 beta=90.00 gamma=120.00
Sites, in units of the cell vectors:
O1 0.413 0.907 0.250
O2 0.587 0.093 0.750
O3 0.795 0.743 0.617
O4 0.907 0.494 0.750
O5 0.494 0.587 0.250
Si1 0.240 0.388 0.250
Cs1 0.333 0.667 0.938
O6 0.257 0.053 0.617
O7 0.743 0.947 0.117
O8 0.257 0.053 0.883
O9 0.947 0.205 0.617
Cs2 0.667 0.333 0.438
Zr1 0.000 0.000 0.500
O10 0.053 0.795 0.117
Si2 0.852 0.240 0.750
O11 0.947 0.205 0.883
Cs3 0.667 0.333 0.062
O12 0.205 0.257 0.117
O13 0.053 0.795 0.383
Si3 0.388 0.148 0.750
O14 0.506 0.413 0.750
Si4 0.612 0.852 0.250
Zr2 0.000 0.000 0.000
Si5 0.760 0.612 0.750
Cs4 0.333 0.667 0.562
Si6 0.148 0.760 0.250
O15 0.743 0.947 0.383
O16 0.205 0.257 0.383
O17 0.795 0.743 0.883
O18 0.093 0.506 0.250

[6]
Ni2PPt after structural relaxation. Source: Alexandria, functional GGA-PBEsol.

Calculated values
- Calculated formation energy: -0.164 eV/atom

Unit cell a=3.003 b=3.003 c=5.303 alpha=90.00 beta=90.00 gamma=90.00
Sites, in units of the cell vectors:
Ni1 0.000 0.000 0.032
Pt1 0.500 0.500 0.754
Ni2 0.500 0.500 0.264
P1 0.000 0.000 0.451

It is found that the volume values, taken in the order of the records, are 399 281 85 139 465 48 Å³/cell.
It is found that the DOS(E_F) values, taken in the order of the records, are 0.404 0.931 1.475 1.182 0.000 0.729 states/eV per atom.